Record 1
Entry from the Alexandria database: a relaxed structure of KSrAsH16O12 (GGA-PBEsol).

Lattice parameters (Å, degrees): 7.074 7.074 12.743 106.11 106.11 90.00
Sites, in units of the cell vectors:
H 0.629 0.093 0.841
H 0.068 0.505 0.470
H 0.999 0.379 0.341
H 0.215 0.818 0.970
O 0.823 0.607 0.647
O 0.223 0.211 0.908
O 0.947 0.435 0.408
O 0.118 0.320 0.235
O 0.461 0.973 0.408
O 0.290 0.573 0.147
H 0.402 0.965 0.470
H 0.943 0.699 0.174
H 0.725 0.693 0.674
H 0.343 0.963 0.341
O 0.542 0.322 0.644
H 0.451 0.923 0.126
O 0.286 0.988 0.573
O 0.286 0.584 0.573
H 0.453 0.201 0.626
H 0.675 0.923 0.126
H 0.402 0.505 0.470
H 0.755 0.818 0.970
O 0.165 0.868 0.735
O 0.570 0.868 0.735
H 0.629 0.749 0.841
K 0.910 0.410 0.821
H 0.231 0.475 0.174
H 0.173 0.201 0.626
H 0.725 0.981 0.674
Sr 0.751 0.251 0.501
H 0.215 0.152 0.970
H 0.173 0.425 0.626
O 0.685 0.697 0.908
H 0.068 0.965 0.470
H 0.231 0.699 0.174
O 0.834 0.036 0.073
H 0.213 0.093 0.841
O 0.461 0.435 0.408
H 0.999 0.963 0.341
H 0.675 0.203 0.126
K 0.660 0.660 0.321
As 0.077 0.077 0.154
H 0.453 0.425 0.626
H 0.755 0.152 0.970
O 0.572 0.292 0.144
H 0.343 0.379 0.341
O 0.947 0.973 0.408
O 0.238 0.036 0.073
O 0.857 0.573 0.147
As 0.327 0.827 0.654
O 0.118 0.915 0.235
H 0.949 0.693 0.674
Sr 0.501 0.501 0.001
O 0.823 0.040 0.647
O 0.103 0.322 0.644
O 0.223 0.697 0.908
H 0.213 0.749 0.841
H 0.949 0.981 0.674
H 0.943 0.475 0.174
O 0.685 0.211 0.908
O 0.572 0.853 0.144
H 0.451 0.203 0.126

Calculated values
**Total DFT energy (no corrections)**: -164.28 eV/f.u.
**Total moment**: 0.0 μB per formula unit

***

Record 2
Entry from the Alexandria database: a relaxed structure of La2AsH2 (GGA-PBEsol).

Lattice parameters (Å, degrees): 3.831 3.831 6.769 106.44 106.44 90.00
Sites, in units of the cell vectors:
La 0.633 0.633 0.267
H 0.750 0.250 0.500
La 0.367 0.367 0.733
H 0.250 0.750 0.500
As 0.000 0.000 0.000

Calculated values
**Total DFT energy (no corrections)**: -27.12 eV/f.u.
**Total moment**: 0.0 μB per formula unit

***

Record 3
Entry from the Alexandria database: a relaxed structure of La2As2H (GGA-PBEsol).

Lattice parameters (Å, degrees): 4.254 7.407 7.407 90.00 90.00 90.00
Sites, in units of the cell vectors:
La 0.000 0.185 0.315
La 0.000 0.315 0.815
La 0.000 0.815 0.685
As 0.500 0.118 0.618
As 0.500 0.382 0.118
La 0.000 0.685 0.185
H 0.000 0.000 0.000
As 0.500 0.882 0.382
H 0.000 0.500 0.500
As 0.500 0.618 0.882

Calculated values
**Total DFT energy (no corrections)**: -29.25 eV/f.u.
**Total moment**: 0.0 μB per formula unit

***

Record 4
Entry from the Alexandria database: a relaxed structure of LaAsHSe2 (GGA-PBEsol).

Lattice parameters (Å, degrees): 5.701 5.701 5.954 90.00 90.00 90.00
Sites, in units of the cell vectors:
H 0.500 0.500 0.500
Se 0.500 0.000 0.000
La 0.000 0.000 0.000
As 0.000 0.000 0.500
Se 0.000 0.500 0.000

Calculated values
**Total DFT energy (no corrections)**: -18.60 eV/f.u.
**Total moment**: 2.5 μB per formula unit

***

Record 5
Entry from the Alexandria database: a relaxed structure of Li2AsH2 (GGA-PBEsol).

Lattice parameters (Å, degrees): 2.817 6.464 6.464 90.00 90.00 90.00
Sites, in units of the cell vectors:
Li 0.500 0.283 0.217
As 0.000 0.500 0.500
H 0.000 0.957 0.543
As 0.000 0.000 0.000
Li 0.500 0.717 0.783
Li 0.500 0.217 0.717
H 0.000 0.543 0.043
H 0.000 0.043 0.457
H 0.000 0.457 0.957
Li 0.500 0.783 0.283

Calculated values
**Total DFT energy (no corrections)**: -16.98 eV/f.u.
**Total moment**: 0.0 μB per formula unit

***

Record 6
Entry from the Alexandria database: a relaxed structure of Li3AsH36Se4N12 (GGA-PBEsol).

Lattice parameters (Å, degrees): 8.881 8.881 8.881 109.47 109.47 109.47
Sites, in units of the cell vectors:
H 0.383 0.383 0.179
H 0.383 0.179 0.383
H 0.204 0.821 0.204
H 0.495 0.606 0.325
H 0.617 0.796 0.000
N 0.266 0.266 0.761
H 0.675 0.281 0.169
H 0.606 0.325 0.495
H 0.831 0.505 0.112
H 0.821 0.204 0.204
N 0.266 0.761 0.266
Se 0.000 0.000 0.262
Se 0.738 0.738 0.738
H 0.112 0.831 0.505
H 0.505 0.831 0.112
H 0.719 0.394 0.888
N 0.761 0.266 0.266
H 0.831 0.112 0.505
H 0.179 0.383 0.383
H 0.325 0.606 0.495
N 0.505 0.505 0.239
Se 0.262 0.000 0.000
H 0.888 0.719 0.394
N 0.239 0.505 0.505
H 0.281 0.675 0.169
H 0.394 0.888 0.719
H 0.888 0.394 0.719
H 0.675 0.169 0.281
N 0.000 0.734 0.495
Se 0.000 0.262 0.000
N 0.000 0.495 0.734
H 0.394 0.719 0.888
H 0.325 0.495 0.606
Li 0.500 0.500 0.000
H 0.000 0.796 0.617
H 0.169 0.281 0.675
H 0.112 0.505 0.831
H 0.617 0.000 0.796
H 0.796 0.617 0.000
H 0.000 0.617 0.796
Li 0.500 0.000 0.500
H 0.505 0.112 0.831
N 0.495 0.000 0.734
N 0.495 0.734 0.000
N 0.734 0.495 0.000
H 0.204 0.204 0.821
As 0.000 0.000 0.000
H 0.495 0.325 0.606
N 0.505 0.239 0.505
H 0.281 0.169 0.675
Li 0.000 0.500 0.500
H 0.169 0.675 0.281
N 0.734 0.000 0.495
H 0.719 0.888 0.394
H 0.796 0.000 0.617
H 0.606 0.495 0.325

Calculated values
**Total DFT energy (no corrections)**: -272.40 eV/f.u.
**Total moment**: 0.0 μB per formula unit

***

Q: Which formula does entry 2 have?
A: La2AsH2

***

Q: Look up the total moment of the sixth one.
A: 0.0 μB per formula unit

***

Q: Which value of total moment does entry 5 give?
A: 0.0 μB per formula unit

***

Q: total DFT energy (no corrections) of number 5 (Li2AsH2)?
A: -16.98 eV/f.u.